1.
# TcAgRu, PBEsol geometry, DFT SCAN
data_TcAgRu
_cell_length_a 2.775
_cell_length_b 2.775
_cell_length_c 6.090
_cell_angle_alpha 103.17
_cell_angle_beta 103.17
_cell_angle_gamma 90.00
_space_group_name_H-M_alt 'P 1'
_space_group_IT_number 1
loop_
_space_group_symop_operation_xyz
'x,y,z'
loop_
_atom_site_label
_atom_site_type_symbol
_atom_site_fract_x
_atom_site_fract_y
_atom_site_fract_z
_atom_site_occupancy
Tc1 Tc 0.318 0.318 0.635 1
Ag1 Ag 0.000 0.000 0.001 1
Ru1 Ru 0.682 0.682 0.364 1
# Excess energy over the best structure of this formula in the dataset: 92 meV/atom


2.
The following is a SCAN calculation of a crystal of TcAg2RuW relaxed with PBEsol, from Alexandria via LeMat-Bulk.

CIF file:
```
data_TcAg2RuW
_cell_length_a 4.402
_cell_length_b 4.813
_cell_length_c 4.813
_cell_angle_alpha 90.00
_cell_angle_beta 90.00
_cell_angle_gamma 90.00
_space_group_name_H-M_alt 'P 1'
_space_group_IT_number 1
loop_
_space_group_symop_operation_xyz
'x,y,z'
loop_
_atom_site_label
_atom_site_type_symbol
_atom_site_fract_x
_atom_site_fract_y
_atom_site_fract_z
_atom_site_occupancy
W1 W 0.500 0.500 0.500 1
Ag1 Ag 0.000 0.000 0.500 1
Ag2 Ag 0.000 0.500 0.000 1
Ru1 Ru 0.000 0.000 0.000 1
Tc1 Tc 0.500 0.000 0.000 1
```


What did we get for electronic total energy? Answer: -33.446, -38.236 eV per atom, in the order shown.
What did we get for calculated formation energy? Answer: 0.31, 2.23 eV/atom, in the order shown.